[1]
# CaLaPS2, optimized geometry, DFT GGA-PBE
# calculated volume	26.072	Å³ per atom
# E_form (uncorrected)	-3.53	eV/f.u.
# polymorph energy (0 for the lowest one)	0.00	kJ per mole of atoms
data_CaLaPS2
_chemical_formula_sum 'Ca1 La1 P1 S2'
_symmetry_space_group_name_H-M 'P 4/m m m'
_symmetry_Int_Tables_number 123
_symmetry_space_group_name_Hall '-P 4 2'
_cell_length_a 5.090
_cell_length_b 5.090
_cell_length_c 5.032
_cell_angle_alpha 90.00
_cell_angle_beta 90.00
_cell_angle_gamma 90.00
loop_
_atom_site_label
_atom_site_fract_x
_atom_site_fract_y
_atom_site_fract_z
Ca1 0.000 0.000 0.000
La1 0.500 0.500 0.500
P1 0.000 0.000 0.500
S1 0.000 0.500 0.000

---

[2]
# Mg2Pt9Rh, optimized geometry, DFT GGA-PBE
# calculated volume	15.463	Å³ per atom
# formation enthalpy at 0 K	-0.41	eV/atom
data_Mg2Pt9Rh
_chemical_formula_sum 'Mg2 Pt9 Rh1'
_symmetry_space_group_name_H-M 'P 4/m m m'
_symmetry_Int_Tables_number 123
_symmetry_space_group_name_Hall '-P 4 2'
_cell_length_a 3.943
_cell_length_b 3.943
_cell_length_c 11.937
_cell_angle_alpha 90.00
_cell_angle_beta 90.00
_cell_angle_gamma 90.00
loop_
_atom_site_label
_atom_site_fract_x
_atom_site_fract_y
_atom_site_fract_z
Mg1 0.000 0.000 0.165
Pt1 0.000 0.500 0.000
Pt2 0.000 0.500 0.334
Pt3 0.500 0.500 0.166
Pt4 0.500 0.500 0.500
Rh1 0.000 0.000 0.500

---

[3]
# TcNiHg2, optimized geometry, DFT GGA-PBE
# calculated volume	16.815	Å³ per atom
# polymorph energy (0 for the lowest one)	19.68	kJ per mole of atoms
# formation enthalpy at 0 K	0.53	eV/atom
data_TcNiHg2
_chemical_formula_sum 'Tc1 Ni1 Hg2'
_symmetry_space_group_name_H-M 'P 4/m m m'
_symmetry_Int_Tables_number 123
_symmetry_space_group_name_Hall '-P 4 2'
_cell_length_a 2.971
_cell_length_b 2.971
_cell_length_c 7.618
_cell_angle_alpha 90.00
_cell_angle_beta 90.00
_cell_angle_gamma 90.00
loop_
_atom_site_label
_atom_site_fract_x
_atom_site_fract_y
_atom_site_fract_z
Tc1 0.000 0.000 0.000
Ni1 0.000 0.000 0.500
Hg1 0.500 0.500 0.268

---

[4]
# RbAgHg2Pb, optimized geometry, DFT GGA-PBE
# calculated volume	40.542	Å³ per atom
# polymorph energy (0 for the lowest one)	1.05	kJ per mole of atoms
# formation enthalpy at 0 K	0.05	eV/atom
data_RbAgHg2Pb
_chemical_formula_sum 'Rb1 Ag1 Hg2 Pb1'
_symmetry_space_group_name_H-M 'P 4/m m m'
_symmetry_Int_Tables_number 123
_symmetry_space_group_name_Hall '-P 4 2'
_cell_length_a 6.107
_cell_length_b 6.107
_cell_length_c 5.436
_cell_angle_alpha 90.00
_cell_angle_beta 90.00
_cell_angle_gamma 90.00
loop_
_atom_site_label
_atom_site_fract_x
_atom_site_fract_y
_atom_site_fract_z
Rb1 0.000 0.000 0.000
Ag1 0.500 0.500 0.000
Hg1 0.000 0.500 0.500
Pb1 0.500 0.500 0.500

---

[5]
# PuRh4, optimized geometry, DFT GGA-PBE
# calculated volume	17.691	Å³ per atom
# formation enthalpy at 0 K	-0.08	eV/atom
data_PuRh4
_chemical_formula_sum 'Pu8 Rh32'
_symmetry_space_group_name_H-M 'I -4 3 m'
_symmetry_Int_Tables_number 217
_symmetry_space_group_name_Hall 'I -4 2 3'
_cell_length_a 8.911
_cell_length_b 8.911
_cell_length_c 8.911
_cell_angle_alpha 90.00
_cell_angle_beta 90.00
_cell_angle_gamma 90.00
loop_
_atom_site_label
_atom_site_fract_x
_atom_site_fract_y
_atom_site_fract_z
Pu1 0.224 0.224 0.224
Rh1 0.000 0.000 0.353
Rh2 0.000 0.250 0.500
Rh3 0.107 0.107 0.893

---

[6]
# TmTlSn2Br8, optimized geometry, DFT GGA-PBE
# calculated volume	37.609	Å³ per atom
# E_form (uncorrected)	-13.46	eV/f.u.
data_TmTlSn2Br8
_chemical_formula_sum 'Tm1 Tl1 Sn2 Br8'
_symmetry_space_group_name_H-M 'P -1'
_symmetry_Int_Tables_number 2
_symmetry_space_group_name_Hall '-P 1'
_cell_length_a 6.792
_cell_length_b 7.246
_cell_length_c 9.190
_cell_angle_alpha 86.97
_cell_angle_beta 88.51
_cell_angle_gamma 88.26
loop_
_atom_site_label
_atom_site_fract_x
_atom_site_fract_y
_atom_site_fract_z
Tm1 0.000 0.000 0.000
Tl1 0.000 0.000 0.500
Sn1 0.490 0.486 0.751
Br1 0.231 0.316 0.978
Br2 0.232 0.836 0.788
Br3 0.249 0.856 0.216
Br4 0.272 0.366 0.527

---

[7]
# TiSiO6, optimized geometry, DFT GGA-PBE
# calculated volume	12.478	Å³ per atom
# E_form (uncorrected)	-12.69	eV/f.u.
data_TiSiO6
_chemical_formula_sum 'Ti4 Si4 O24'
_symmetry_space_group_name_H-M 'F m -3 m'
_symmetry_Int_Tables_number 225
_symmetry_space_group_name_Hall '-F 4 2 3'
_cell_length_a 7.364
_cell_length_b 7.364
_cell_length_c 7.364
_cell_angle_alpha 90.00
_cell_angle_beta 90.00
_cell_angle_gamma 90.00
loop_
_atom_site_label
_atom_site_fract_x
_atom_site_fract_y
_atom_site_fract_z
Ti1 0.000 0.000 0.000
Si1 0.000 0.000 0.500
O1 0.000 0.000 0.263

---

[8]
# NaGe2I, optimized geometry, DFT GGA-PBE
# calculated volume	28.375	Å³ per atom
# E_form (uncorrected)	1.05	eV/f.u.
# polymorph energy (0 for the lowest one)	0.00	kJ per mole of atoms
data_NaGe2I
_chemical_formula_sum 'Na4 Ge8 I4'
_symmetry_space_group_name_H-M 'I -4 2 d'
_symmetry_Int_Tables_number 122
_symmetry_space_group_name_Hall 'I -4 2bw'
_cell_length_a 8.959
_cell_length_b 8.959
_cell_length_c 5.656
_cell_angle_alpha 90.00
_cell_angle_beta 90.00
_cell_angle_gamma 90.00
loop_
_atom_site_label
_atom_site_fract_x
_atom_site_fract_y
_atom_site_fract_z
Na1 0.000 0.000 0.000
Ge1 0.234 0.250 0.625
I1 0.000 0.000 0.500

---

[9]
# CuOsN2O, optimized geometry, DFT GGA-PBE
# calculated volume	10.045	Å³ per atom
# E_form (uncorrected)	9.14	eV/f.u.
data_CuOsN2O
_chemical_formula_sum 'Cu1 Os1 N2 O1'
_symmetry_space_group_name_H-M 'P 4/m m m'
_symmetry_Int_Tables_number 123
_symmetry_space_group_name_Hall '-P 4 2'
_cell_length_a 3.700
_cell_length_b 3.700
_cell_length_c 3.668
_cell_angle_alpha 90.00
_cell_angle_beta 90.00
_cell_angle_gamma 90.00
loop_
_atom_site_label
_atom_site_fract_x
_atom_site_fract_y
_atom_site_fract_z
Cu1 0.000 0.000 0.000
Os1 0.500 0.500 0.500
N1 0.000 0.500 0.000
O1 0.000 0.000 0.500

---

[10]
# LaNdInSn, optimized geometry, DFT GGA-PBE
# calculated volume	30.081	Å³ per atom
# polymorph energy (0 for the lowest one)	2.26	kJ per mole of atoms
# formation enthalpy at 0 K	-0.57	eV/atom
data_LaNdInSn
_chemical_formula_sum 'La4 Nd4 In4 Sn4'
_symmetry_space_group_name_H-M 'F -4 3 m'
_symmetry_Int_Tables_number 216
_symmetry_space_group_name_Hall 'F -4 2 3'
_cell_length_a 7.837
_cell_length_b 7.837
_cell_length_c 7.837
_cell_angle_alpha 90.00
_cell_angle_beta 90.00
_cell_angle_gamma 90.00
loop_
_atom_site_label
_atom_site_fract_x
_atom_site_fract_y
_atom_site_fract_z
La1 0.000 0.000 0.000
Nd1 0.000 0.000 0.500
In1 0.250 0.250 0.750
Sn1 0.250 0.250 0.250

---

[11]
# LaReAu4, optimized geometry, DFT GGA-PBE
# calculated volume	20.528	Å³ per atom
# formation enthalpy at 0 K	0.22	eV/atom
data_LaReAu4
_chemical_formula_sum 'La4 Re4 Au16'
_symmetry_space_group_name_H-M 'F -4 3 m'
_symmetry_Int_Tables_number 216
_symmetry_space_group_name_Hall 'F -4 2 3'
_cell_length_a 7.898
_cell_length_b 7.898
_cell_length_c 7.898
_cell_angle_alpha 90.00
_cell_angle_beta 90.00
_cell_angle_gamma 90.00
loop_
_atom_site_label
_atom_site_fract_x
_atom_site_fract_y
_atom_site_fract_z
La1 0.000 0.000 0.000
Re1 0.250 0.250 0.750
Au1 0.124 0.124 0.376

---

[12]
# ErRh2Au, optimized geometry, DFT GGA-PBE
# calculated volume	17.204	Å³ per atom
# formation enthalpy at 0 K	-0.62	eV/atom
data_ErRh2Au
_chemical_formula_sum 'Er1 Rh2 Au1'
_symmetry_space_group_name_H-M 'P 4/m m m'
_symmetry_Int_Tables_number 123
_symmetry_space_group_name_Hall '-P 4 2'
_cell_length_a 4.183
_cell_length_b 4.183
_cell_length_c 3.933
_cell_angle_alpha 90.00
_cell_angle_beta 90.00
_cell_angle_gamma 90.00
loop_
_atom_site_label
_atom_site_fract_x
_atom_site_fract_y
_atom_site_fract_z
Er1 0.000 0.000 0.000
Rh1 0.000 0.500 0.500
Au1 0.500 0.500 0.000

---

Please write out number 10 again, unchanged.
# LaNdInSn, optimized geometry, DFT GGA-PBE
# calculated volume	30.081	Å³ per atom
# polymorph energy (0 for the lowest one)	2.26	kJ per mole of atoms
# formation enthalpy at 0 K	-0.57	eV/atom
data_LaNdInSn
_chemical_formula_sum 'La4 Nd4 In4 Sn4'
_symmetry_space_group_name_H-M 'F -4 3 m'
_symmetry_Int_Tables_number 216
_symmetry_space_group_name_Hall 'F -4 2 3'
_cell_length_a 7.837
_cell_length_b 7.837
_cell_length_c 7.837
_cell_angle_alpha 90.00
_cell_angle_beta 90.00
_cell_angle_gamma 90.00
loop_
_atom_site_label
_atom_site_fract_x
_atom_site_fract_y
_atom_site_fract_z
La1 0.000 0.000 0.000
Nd1 0.000 0.000 0.500
In1 0.250 0.250 0.750
Sn1 0.250 0.250 0.250